First-principles (PBE) data for an optimized crystal structure of KFeHg, as listed in Alexandria.

Cell: 7.733 7.733 7.733 Å, 90.00 90.00 90.00°
Atoms (fractional coordinates):
K 0.000 0.000 0.000
K 0.000 0.500 0.500
K 0.500 0.000 0.500
K 0.500 0.500 0.000
Fe 0.250 0.250 0.250
Fe 0.250 0.750 0.750
Fe 0.750 0.250 0.750
Fe 0.750 0.750 0.250
Hg 0.250 0.250 0.750
Hg 0.250 0.750 0.250
Hg 0.750 0.250 0.250
Hg 0.750 0.750 0.750

Values from the calculation:
VASP energy (eV per atom): -2.174
Distance to the lowest polymorph of the same formula (meV/atom): 582
Energy of formation (eV/atom): 1.11
Symmetry: F-43m (216)



First-principles (PBE) data for an optimized crystal structure of KFe4Hg, as listed in Alexandria.

Cell: 5.213 5.213 5.213 Å, 60.00 60.00 60.00°
Atoms (fractional coordinates):
K 0.000 0.000 0.000
Fe 0.123 0.626 0.626
Fe 0.626 0.123 0.626
Fe 0.626 0.626 0.123
Fe 0.626 0.626 0.626
Hg 0.250 0.250 0.250

Values from the calculation:
VASP energy (eV per atom): -5.208
Energy of formation (eV/atom): 0.67
Symmetry: F-43m (216)



First-principles (PBE) data for an optimized crystal structure of K2FeHg, as listed in Alexandria.

Cell: 3.664 3.664 34.493 Å, 90.00 90.00 120.00°
Atoms (fractional coordinates):
K 0.000 0.000 0.244
K 0.000 0.000 0.756
K 0.333 0.667 0.422
K 0.333 0.667 0.911
K 0.667 0.333 0.089
K 0.667 0.333 0.578
Fe 0.000 0.000 0.500
Fe 0.333 0.667 0.167
Fe 0.667 0.333 0.833
Hg 0.000 0.000 0.000
Hg 0.333 0.667 0.667
Hg 0.667 0.333 0.333

Values from the calculation:
VASP energy (eV per atom): -2.011
Energy of formation (eV/atom): 0.73
Symmetry: R-3m (166)



First-principles (PBE) data for an optimized crystal structure of KFeHg, as listed in Alexandria.

Cell: 3.168 4.213 12.288 Å, 90.00 90.00 90.00°
Atoms (fractional coordinates):
K 0.000 0.000 0.000
K 0.500 0.500 0.500
Fe 0.000 0.000 0.732
Fe 0.500 0.500 0.232
Hg 0.000 0.000 0.277
Hg 0.500 0.500 0.777

Values from the calculation:
VASP energy (eV per atom): -2.756
Distance to the lowest polymorph of the same formula (meV/atom): 0
Energy of formation (eV/atom): 0.53
Symmetry: Imm2 (44)



First-principles (PBE) data for an optimized crystal structure of KFeHg2, as listed in Alexandria.

Cell: 4.672 4.672 18.548 Å, 90.00 90.00 120.00°
Atoms (fractional coordinates):
K 0.000 0.000 0.000
K 0.333 0.667 0.667
K 0.667 0.333 0.333
Fe 0.000 0.000 0.500
Fe 0.333 0.667 0.167
Fe 0.667 0.333 0.833
Hg 0.000 0.000 0.203
Hg 0.000 0.000 0.797
Hg 0.333 0.667 0.464
Hg 0.333 0.667 0.869
Hg 0.667 0.333 0.131
Hg 0.667 0.333 0.536

Values from the calculation:
VASP energy (eV per atom): -2.255
Distance to the lowest polymorph of the same formula (meV/atom): 3
Energy of formation (eV/atom): 0.29
Symmetry: R-3m (166)



First-principles (PBE) data for an optimized crystal structure of KFeHg, as listed in Alexandria.

Cell: 3.322 3.322 7.829 Å, 90.00 90.00 120.00°
Atoms (fractional coordinates):
K 0.000 0.000 0.000
Fe 0.333 0.667 0.366
Hg 0.667 0.333 0.623

Values from the calculation:
VASP energy (eV per atom): -2.518
Distance to the lowest polymorph of the same formula (meV/atom): 238
Energy of formation (eV/atom): 0.77
Symmetry: P3m1 (156)



First-principles (PBE) data for an optimized crystal structure of KFeHg2, as listed in Alexandria.

Cell: 8.025 4.631 6.948 Å, 90.00 112.65 90.00°
Atoms (fractional coordinates):
K 0.000 0.000 0.000
K 0.500 0.500 0.000
Fe 0.181 0.000 0.540
Fe 0.681 0.500 0.540
Hg 0.043 0.500 0.626
Hg 0.303 0.500 0.407
Hg 0.543 0.000 0.626
Hg 0.803 0.000 0.407

Values from the calculation:
VASP energy (eV per atom): -2.246
Distance to the lowest polymorph of the same formula (meV/atom): 12
Energy of formation (eV/atom): 0.30
Symmetry: Cm (8)



First-principles (PBE) data for an optimized crystal structure of KFeHg2, as listed in Alexandria.

Cell: 3.166 4.360 15.793 Å, 90.00 90.00 90.00°
Atoms (fractional coordinates):
K 0.000 0.000 0.000
K 0.500 0.500 0.500
Fe 0.000 0.500 0.704
Fe 0.500 0.000 0.204
Hg 0.000 0.000 0.349
Hg 0.000 0.500 0.181
Hg 0.500 0.000 0.681
Hg 0.500 0.500 0.849

Values from the calculation:
VASP energy (eV per atom): -2.238
Distance to the lowest polymorph of the same formula (meV/atom): 20
Energy of formation (eV/atom): 0.30
Symmetry: Imm2 (44)



First-principles (PBE) data for an optimized crystal structure of KFe3Hg, as listed in Alexandria.

Cell: 5.070 5.070 5.070 Å, 90.00 90.00 90.00°
Atoms (fractional coordinates):
K 0.000 0.000 0.000
Fe 0.000 0.500 0.500
Fe 0.500 0.000 0.500
Fe 0.500 0.500 0.000
Hg 0.500 0.500 0.500

Values from the calculation:
VASP energy (eV per atom): -3.991
Distance to the lowest polymorph of the same formula (meV/atom): 0
Energy of formation (eV/atom): 1.37
Symmetry: Pm-3m (221)



First-principles (PBE) data for an optimized crystal structure of K2FeHg, as listed in Alexandria.

Cell: 4.671 4.671 23.911 Å, 90.00 90.00 90.00°
Atoms (fractional coordinates):
K 0.250 0.250 0.125
K 0.250 0.250 0.625
K 0.250 0.750 0.375
K 0.250 0.750 0.875
K 0.750 0.250 0.375
K 0.750 0.250 0.875
K 0.750 0.750 0.125
K 0.750 0.750 0.625
Fe 0.000 0.000 0.000
Fe 0.000 0.500 0.250
Fe 0.500 0.000 0.750
Fe 0.500 0.500 0.500
Hg 0.000 0.000 0.500
Hg 0.000 0.500 0.750
Hg 0.500 0.000 0.250
Hg 0.500 0.500 0.000

Values from the calculation:
VASP energy (eV per atom): -1.927
Energy of formation (eV/atom): 0.81
Symmetry: I-42d (122)



First-principles (PBE) data for an optimized crystal structure of KFeHg2, as listed in Alexandria.

Cell: 7.396 7.396 7.396 Å, 90.00 90.00 90.00°
Atoms (fractional coordinates):
K 0.000 0.000 0.000
K 0.000 0.500 0.500
K 0.500 0.000 0.500
K 0.500 0.500 0.000
Fe 0.000 0.000 0.500
Fe 0.000 0.500 0.000
Fe 0.500 0.000 0.000
Fe 0.500 0.500 0.500
Hg 0.250 0.250 0.250
Hg 0.250 0.250 0.750
Hg 0.250 0.750 0.250
Hg 0.250 0.750 0.750
Hg 0.750 0.250 0.250
Hg 0.750 0.250 0.750
Hg 0.750 0.750 0.250
Hg 0.750 0.750 0.750

Values from the calculation:
VASP energy (eV per atom): -2.058
Distance to the lowest polymorph of the same formula (meV/atom): 200
Energy of formation (eV/atom): 0.48
Symmetry: Fm-3m (225)



First-principles (PBE) data for an optimized crystal structure of KFeHg2, as listed in Alexandria.

Cell: 7.405 7.405 7.405 Å, 90.00 90.00 90.00°
Atoms (fractional coordinates):
K 0.000 0.000 0.000
K 0.000 0.500 0.500
K 0.500 0.000 0.500
K 0.500 0.500 0.000
Fe 0.250 0.250 0.750
Fe 0.250 0.750 0.250
Fe 0.750 0.250 0.250
Fe 0.750 0.750 0.750
Hg 0.000 0.000 0.500
Hg 0.000 0.500 0.000
Hg 0.250 0.250 0.250
Hg 0.250 0.750 0.750
Hg 0.500 0.000 0.000
Hg 0.500 0.500 0.500
Hg 0.750 0.250 0.750
Hg 0.750 0.750 0.250

Values from the calculation:
VASP energy (eV per atom): -1.941
Distance to the lowest polymorph of the same formula (meV/atom): 317
Energy of formation (eV/atom): 0.60
Symmetry: F-43m (216)



Q: Among the records above, which one has the highest energy of formation?
A: KFe3Hg



Q: energy of formation of number 2 (KFe4Hg)?
A: 0.67 eV/atom



What did the eighth record say?
First-principles (PBE) data for an optimized crystal structure of KFeHg2, as listed in Alexandria.

Cell: 3.166 4.360 15.793 Å, 90.00 90.00 90.00°
Atoms (fractional coordinates):
K 0.000 0.000 0.000
K 0.500 0.500 0.500
Fe 0.000 0.500 0.704
Fe 0.500 0.000 0.204
Hg 0.000 0.000 0.349
Hg 0.000 0.500 0.181
Hg 0.500 0.000 0.681
Hg 0.500 0.500 0.849

Values from the calculation:
VASP energy (eV per atom): -2.238
Distance to the lowest polymorph of the same formula (meV/atom): 20
Energy of formation (eV/atom): 0.30
Symmetry: Imm2 (44)



Q: What is the formula in the second record?
A: KFe4Hg